# 1
Tl2GaIrBr | the Alexandria database | GGA-PBE | optimized geometry; ρ = 8.9 g/cm3
1.0
5.375 0.000 0.000
0.000 5.375 0.000
0.000 0.000 4.845
Tl Ir Ga Br
2 1 1 1
Cartesian
0.000 2.688 0.000
2.688 0.000 0.000
0.000 0.000 0.000
0.000 0.000 2.422
2.688 2.688 2.422


# 2
TlGa2IrBr | the Alexandria database | GGA-PBE | optimized geometry; ρ = 8.0 g/cm3
1.0
-0.321 -3.467 3.402
4.287 1.401 1.832
-2.536 3.460 3.287
Tl Ir Ga Br
1 1 2 1
Cartesian
-1.268 1.730 1.644
0.000 0.000 0.000
2.143 0.700 0.916
-0.160 -1.733 1.701
0.715 0.697 4.260


# 3
K2GaBr4 | the Alexandria database | GGA-PBE | optimized geometry; ρ = 3.2 g/cm3; excess energy over the best structure of this formula in the dataset = 0.00 kcal/mol of atoms
1.0
5.345 0.000 0.000
0.000 5.345 0.000
2.673 2.673 8.485
K Ga Br
2 1 4
Cartesian
5.345 5.345 6.081
2.673 2.673 2.404
0.000 0.000 0.000
5.345 5.345 2.804
2.673 2.673 5.681
0.000 2.673 0.000
2.673 0.000 0.000


# 4
K3GaBr | the Alexandria database | GGA-PBE | optimized geometry; ρ = 1.8 g/cm3; excess energy over the best structure of this formula in the dataset = 0.00 kcal/mol of atoms
1.0
-0.382 -6.261 0.388
1.135 -0.451 -6.165
6.170 -0.305 1.158
K Ga Br
3 1 1
Cartesian
0.568 -0.226 -3.082
3.085 -0.153 0.579
-0.191 -3.131 0.194
3.461 -3.509 -2.310
0.000 0.000 0.000


# 5
KGa2Br3 | the Alexandria database | GGA-PBE | optimized geometry; ρ = 3.5 g/cm3
1.0
4.448 -0.001 -1.014
-0.231 4.442 -1.015
-0.019 -0.018 10.193
K Ga Br
1 2 3
Cartesian
1.812 1.921 8.026
0.431 0.461 1.944
3.220 3.399 3.913
3.921 4.141 7.011
1.094 1.156 4.861
2.555 2.693 0.999


# 6
KGa2Br8 | the Alexandria database | GGA-PBE | optimized geometry; ρ = 2.7 g/cm3; excess energy over the best structure of this formula in the dataset = 0.35 kcal/mol of atoms
1.0
7.077 0.974 0.739
1.222 9.077 1.127
1.222 3.529 8.439
K Ga Br
1 2 8
Cartesian
0.000 0.000 0.000
6.798 11.056 8.389
2.723 2.524 1.915
3.443 6.132 8.018
6.079 4.207 6.557
4.566 10.508 7.973
4.956 3.072 2.331
3.443 9.374 3.747
6.079 7.448 2.286
8.314 9.625 7.303
1.208 3.955 3.001


# 7
K3GaBr6 | the Alexandria database | GGA-PBE | optimized geometry; ρ = 2.5 g/cm3; excess energy over the best structure of this formula in the dataset = 0.00 kcal/mol of atoms
1.0
-0.520 3.625 -7.261
-10.091 2.284 1.863
4.738 8.527 3.918
K Ga Br
6 2 12
Cartesian
-5.924 9.467 1.104
-3.199 12.536 -2.113
-1.923 7.092 0.435
-4.060 8.114 -3.455
-0.151 6.379 -5.406
-2.876 3.310 -2.189
1.841 7.629 2.915
-7.540 5.602 -1.979
-4.171 7.488 2.782
-3.373 9.747 -0.702
-0.036 9.098 2.813
-7.290 7.966 -1.787
3.759 8.901 2.312
1.532 10.238 -2.248
-7.453 4.533 0.101
-9.585 5.206 -3.132
1.480 6.037 1.176
-5.775 4.905 -3.424
-2.383 3.877 0.851
-1.585 6.135 -2.633


# 8
K3GaBr6 | the Alexandria database | GGA-PBE | optimized geometry; ρ = 3.2 g/cm3; excess energy over the best structure of this formula in the dataset = 0.78 kcal/mol of atoms
1.0
-0.610 -7.382 2.172
2.098 -2.385 -7.518
10.600 -0.132 3.000
K Ga Br
6 2 12
Cartesian
9.599 -6.204 -3.537
0.744 -4.884 -2.673
2.490 -3.695 1.191
3.875 -1.619 -3.512
5.300 -0.066 1.500
8.214 -8.281 1.166
6.044 -4.950 -1.173
0.000 0.000 0.000
9.969 -5.914 3.146
6.101 -5.505 1.378
3.577 -5.684 -1.253
8.512 -4.216 -1.094
5.988 -4.395 -3.725
2.120 -3.986 -5.492
5.307 -2.535 -0.633
1.174 -1.825 -1.453
8.310 -1.069 2.282
3.778 -8.831 -4.629
10.914 -8.074 -0.893
6.782 -7.364 -1.714


# 9
K3GaBr6 | the Alexandria database | GGA-PBE | optimized geometry; ρ = 3.0 g/cm3; excess energy over the best structure of this formula in the dataset = 2.01 kcal/mol of atoms
1.0
0.000 5.665 5.665
5.665 0.000 5.665
5.665 5.665 0.000
K Ga Br
3 1 6
Cartesian
8.498 8.498 8.498
2.833 2.833 2.833
5.665 5.665 5.665
0.000 0.000 0.000
5.665 2.561 5.665
2.561 5.665 5.665
5.665 8.769 5.665
5.665 5.665 2.561
5.665 5.665 8.769
8.769 5.665 5.665


# 10
KGa2Br8 | the Alexandria database | GGA-PBE | optimized geometry; ρ = 2.7 g/cm3; excess energy over the best structure of this formula in the dataset = 0.00 kcal/mol of atoms
1.0
12.184 0.000 0.000
-6.092 5.257 -1.974
0.000 0.627 7.669
K Ga Br
1 2 8
Cartesian
0.000 0.000 0.000
0.000 3.014 4.268
6.092 2.869 1.427
4.169 3.668 0.368
-1.923 2.216 5.328
0.000 2.791 1.926
6.092 3.092 3.769
8.015 3.668 0.368
1.923 2.216 5.328
0.000 5.467 4.294
6.092 0.416 1.401


# 11
KGa3Br8 | the Alexandria database | GGA-PBE | optimized geometry; ρ = 3.1 g/cm3
1.0
7.023 -0.083 0.071
2.636 6.510 0.071
-0.496 -0.330 10.376
K Ga Br
1 3 8
Cartesian
0.000 0.000 0.000
5.792 3.854 2.785
3.371 2.243 7.733
-0.248 -0.165 5.188
3.497 4.632 7.724
6.800 4.524 0.770
5.623 1.436 7.724
2.326 1.547 5.748
3.540 4.660 2.794
6.838 4.549 4.770
5.666 1.465 2.794
2.363 1.573 9.748


# 12
K6Ga3Br14 | the Alexandria database | GGA-PBE | optimized geometry; ρ = 3.1 g/cm3
1.0
-0.563 0.327 -6.505
5.902 -10.613 -1.044
-12.142 0.143 1.057
K Ga Br
6 3 14
Cartesian
3.164 -8.202 -2.193
-3.037 -9.290 -1.712
-0.852 -3.366 -1.602
-3.944 -5.511 -4.907
-9.868 -4.311 -4.334
-5.847 0.237 -4.453
-0.470 0.273 -5.435
-6.327 -3.326 -1.952
-0.385 -6.870 -3.491
-2.619 -0.458 -6.146
-6.407 -7.968 -6.196
-10.987 -0.952 -5.447
-4.324 -2.494 -2.916
-6.760 -5.478 -2.855
-8.110 -1.882 -2.558
-0.268 0.156 -3.100
-6.687 -3.117 -6.109
1.764 -7.637 -5.207
-2.387 -8.354 -4.885
-0.915 -4.394 -4.813
-2.558 -6.109 -1.760
1.625 -5.360 -2.084
0.165 -9.364 -2.159


# 13
K2Ga2Br7 | the Alexandria database | GGA-PBE | optimized geometry; ρ = 2.8 g/cm3; excess energy over the best structure of this formula in the dataset = 0.00 kcal/mol of atoms
1.0
-12.764 -7.533 -6.999
3.797 -1.698 -5.097
2.863 -7.507 2.858
K Ga Br
4 4 14
Cartesian
2.115 -8.649 -0.310
-4.236 -10.338 -6.101
-8.218 -8.089 -8.928
-1.867 -6.400 -3.137
-8.859 -11.864 -5.248
2.756 -4.874 -3.991
-6.709 -5.997 -4.712
0.606 -10.741 -4.526
-6.382 -3.766 -3.500
1.432 -3.753 1.429
2.377 -2.481 -3.602
-4.819 -7.497 -4.272
-8.480 -14.257 -5.636
-1.284 -9.241 -4.966
-4.873 -8.943 -9.083
-4.234 -13.164 -8.089
-1.869 -3.574 -1.149
-1.230 -7.795 -0.155
-3.967 -13.141 -4.257
-7.495 -10.625 -6.836
1.392 -6.113 -2.403
-2.136 -3.597 -4.981


# 14
K2GaBr | the Alexandria database | GGA-PBE | optimized geometry; ρ = 2.5 g/cm3; excess energy over the best structure of this formula in the dataset = 2.07 kcal/mol of atoms
1.0
4.793 -3.044 -1.806
1.231 -5.314 2.395
-0.665 -4.954 -3.241
K Ga Br
2 1 1
Cartesian
1.340 -3.328 -0.663
4.019 -9.984 -1.989
0.000 0.000 0.000
2.679 -6.656 -1.326


# 15
K2GaBr | the Alexandria database | GGA-PBE | optimized geometry; ρ = 2.3 g/cm3; excess energy over the best structure of this formula in the dataset = 0.00 kcal/mol of atoms
1.0
9.149 0.000 0.000
0.000 9.149 0.000
4.574 4.574 3.971
K Ga Br
4 2 2
Cartesian
7.176 2.287 0.993
1.973 6.862 0.993
6.862 6.547 2.978
11.436 11.751 2.978
4.574 4.574 0.000
4.574 9.149 1.986
0.000 0.000 0.000
9.149 4.574 1.986


# 16
KGa2Br6 | the Alexandria database | GGA-PBE | optimized geometry; ρ = 2.8 g/cm3
1.0
-6.710 -4.834 0.341
2.720 -9.046 -3.770
0.421 -4.963 8.867
K Ga Br
2 4 12
Cartesian
-0.936 -6.742 7.188
-2.633 -12.102 -1.750
0.135 -11.053 4.813
-0.738 -4.682 2.596
-3.704 -7.790 0.625
-2.831 -14.162 2.842
-1.839 -11.905 3.466
-5.071 -9.381 2.063
-1.730 -6.938 1.972
1.502 -9.463 3.375
-2.748 -14.521 0.481
-2.989 -8.847 -1.396
-0.821 -4.322 4.957
-0.580 -9.996 6.834
1.492 -12.950 5.391
-2.006 -2.944 1.522
-5.061 -5.893 0.047
-1.563 -15.899 3.916


# 17
K2Ga2Br7 | the Alexandria database | GGA-PBE | optimized geometry; ρ = 2.8 g/cm3; excess energy over the best structure of this formula in the dataset = 0.05 kcal/mol of atoms
1.0
-3.749 -1.183 5.401
3.169 -7.821 -0.913
6.456 3.864 3.929
K Ga Br
2 2 7
Cartesian
5.488 0.422 2.502
4.137 -4.379 0.513
0.568 -1.362 2.903
5.309 -3.778 5.513
3.829 -5.701 5.759
1.041 -3.018 1.175
2.048 0.561 2.658
4.835 -2.122 7.241
-1.875 -0.591 2.700
4.894 -2.763 3.346
0.982 -2.377 5.070


# 18
K2GaBr4 | the Alexandria database | GGA-PBE | optimized geometry; ρ = 2.2 g/cm3; excess energy over the best structure of this formula in the dataset = 1.50 kcal/mol of atoms
1.0
-1.080 1.581 7.790
-7.604 -2.497 -0.547
5.913 -4.597 -2.378
K Ga Br
2 1 4
Cartesian
0.246 -1.737 4.517
-3.016 -3.776 0.348
-4.342 -0.458 3.621
-2.654 -0.766 5.606
-5.320 -2.433 2.199
-0.558 -4.101 2.443
2.990 -3.727 -0.517


# 19
KLiGa2Br4 | the Alexandria database | GGA-PBE | optimized geometry; ρ = 3.4 g/cm3
1.0
-1.897 0.424 -8.662
7.751 -3.869 -1.937
-5.665 -3.935 5.616
K Li Ga Br
2 2 4 8
Cartesian
3.875 -1.935 -0.969
-0.854 -3.478 -6.822
0.094 -3.690 -2.491
-7.562 -3.511 -3.046
-0.949 0.212 -4.331
-3.781 -1.756 -1.523
-2.832 -1.967 2.808
2.927 -1.723 -5.299
5.627 -2.980 -3.456
-2.032 -2.689 -3.935
2.221 -4.692 -1.048
-5.438 -4.401 -1.527
-1.193 -6.505 -2.351
1.550 -4.599 -5.071
-1.362 -2.781 0.088
1.382 -0.876 -2.631


# 20
K2LiGaBr6 | the Alexandria database | GGA-PBE | optimized geometry; ρ = 3.3 g/cm3
1.0
-2.485 -3.699 -4.835
-3.847 -3.966 5.012
-3.044 6.073 -3.082
K Li Ga Br
2 1 1 6
Cartesian
-3.763 2.056 -1.261
-5.614 -3.648 -1.644
-1.242 -1.850 -2.417
0.000 0.000 0.000
-3.509 -1.528 -3.903
-5.084 1.614 -5.497
-7.074 -0.438 -2.905
-4.292 -3.206 2.593
-2.302 -1.154 0.000
-5.867 -0.064 0.998


Asked for energy relative to the elements, uncorrected across the records above, the calculation gives -1.66, -2.02, -8.75, -2.20, -5.58, -9.61, -13.67, -13.34, -12.80, -9.77, -11.50, -29.62, -12.03, -1.60, -1.96, -8.45, -12.01, -8.30, -8.25, -12.96 eV/f.u. in order.
Asked for E across the records above, the calculation gives -19.95, -20.97, -20.67, -10.19, -17.75, -30.14, -60.06, -59.38, -29.16, -30.31, -35.06, -68.71, -63.98, -8.49, -17.70, -51.27, -31.97, -20.21, -48.02, -30.13 eV for the cell shown in order.
Asked for M_tot across the records above, the calculation gives 0.00, 0.00, 0.00, 0.00, 0.00, 0.01, 0.00, 0.00, 0.00, 0.99, 0.00, 0.85, 0.00, 0.02, 0.00, 0.00, 0.00, 1.00, 0.00, 0.00 Bohr magnetons per cell in order.